Entry from the Open Quantum Materials Database: a geometry-optimized BeTlNi structure (PBE).

The structure in extended XYZ format:
```
12
Lattice="5.6627 0.0000 0.0000 0.0000 5.6627 0.0000 0.0000 0.0000 5.6627" Properties=species:S:1:pos:R:3 pbc="T T T"
Be 0.0000 0.0000 0.0000
Be 0.0000 2.8313 2.8313
Be 2.8313 0.0000 2.8313
Be 2.8313 2.8313 0.0000
Tl 1.4157 1.4157 1.4157
Tl 1.4157 4.2470 4.2470
Tl 4.2470 1.4157 4.2470
Tl 4.2470 4.2470 1.4157
Ni 1.4157 1.4157 4.2470
Ni 1.4157 4.2470 1.4157
Ni 4.2470 1.4157 1.4157
Ni 4.2470 4.2470 4.2470
```

crystal system: cubic
distance to the lowest polymorph of the same formula: 0.00 kJ/mol of atoms
DFT total energy: -3.528 eV/atom

=====

Entry from the Open Quantum Materials Database: a geometry-optimized BaNdAsO structure (PBE).

The structure in extended XYZ format:
```
8
Lattice="4.4728 0.0000 0.0000 0.0000 7.4440 0.0000 0.0000 0.0000 6.9938" Properties=species:S:1:pos:R:3 pbc="T T T"
Ba 0.0000 1.0169 0.0000
Ba 0.0000 6.4272 3.4969
Nd 2.2364 3.4862 4.7581
Nd 2.2364 3.9578 1.2612
As 0.0000 2.3136 3.0698
As 0.0000 5.1304 6.5666
O 2.2364 2.2056 6.6850
O 2.2364 5.2384 3.1881
```

crystal system: orthorhombic
distance to the lowest polymorph of the same formula: 0.00 kJ/mol of atoms
DFT total energy: -6.060 eV/atom

=====

Entry from the Open Quantum Materials Database: a geometry-optimized K5P3Pt3 structure (PBE).

The structure in extended XYZ format:
```
11
Lattice="10.0217 0.0000 0.0000 -5.0108 8.6790 0.0000 0.0000 0.0000 4.3736" Properties=species:S:1:pos:R:3 pbc="T T T"
K -3.6702 6.3570 0.0000
K 1.3406 2.3220 0.0000
K 0.0000 5.7860 0.0000
K 5.0108 2.8930 0.0000
K 7.3404 0.0000 0.0000
P -1.8268 3.1641 0.0000
P 3.6536 0.0000 0.0000
P 3.1840 5.5149 0.0000
Pt -1.8156 3.1446 2.1868
Pt 3.6311 0.0000 2.1868
Pt 3.1953 5.5344 2.1868
```

crystal system: hexagonal
DFT total energy: -4.086 eV/atom

=====

Entry from the Open Quantum Materials Database: a geometry-optimized ThZr2 structure (PBE).

The structure in extended XYZ format:
```
24
Lattice="8.7269 0.0000 0.0000 0.0000 5.5405 0.0000 -2.3260 0.0000 13.0132" Properties=species:S:1:pos:R:3 pbc="T T T"
Th 0.4018 1.3851 3.4109
Th -0.6990 1.3851 10.0297
Th 1.0177 4.1554 5.2957
Th 1.7950 4.1554 1.8479
Th 4.6058 1.3851 11.1653
Th 5.3831 1.3851 7.7175
Th 7.0998 4.1554 2.9835
Th 5.9991 4.1554 9.6023
Zr 0.8690 1.3851 0.1307
Zr -0.2528 1.3851 6.7496
Zr 0.4244 4.1554 8.4562
Zr -0.1258 4.1554 11.7213
Zr 1.5861 1.3851 12.3068
Zr 2.2578 1.3851 8.7207
Zr 2.9335 1.3851 5.5978
Zr 3.6935 1.3851 2.4301
Zr 2.7073 4.1554 10.5831
Zr 3.4673 4.1554 7.4154
Zr 4.1430 4.1554 4.2925
Zr 4.8148 4.1554 0.7064
Zr 6.5266 1.3851 1.2919
Zr 5.9764 1.3851 4.5570
Zr 6.6536 4.1554 6.2636
Zr 5.5319 4.1554 12.8825
```

calculated formation energy: 0.3 eV per formula unit
crystal system: monoclinic
DFT total energy: -8.065 eV/atom

=====

Entry from the Open Quantum Materials Database: a geometry-optimized Sm2BiIO4 structure (PBE).

The structure in extended XYZ format:
```
8
Lattice="4.0467 0.0000 0.0000 0.0000 4.0467 0.0000 0.0000 0.0000 9.3808" Properties=species:S:1:pos:R:3 pbc="T T T"
Sm 0.0000 0.0000 2.2843
Sm 0.0000 0.0000 7.0965
Bi 2.0234 2.0234 4.6904
I 2.0234 2.0234 0.0000
O 0.0000 2.0234 3.2292
O 0.0000 2.0234 6.1516
O 2.0234 0.0000 3.2292
O 2.0234 0.0000 6.1516
```

crystal system: tetragonal
DFT total energy: -6.677 eV/atom

=====

Entry from the Open Quantum Materials Database: a geometry-optimized DyInNiTe3 structure (PBE).

The structure in extended XYZ format:
```
12
Lattice="2.0281 -7.6286 0.0000 2.0281 7.6286 0.0000 0.0000 0.0000 11.0157" Properties=species:S:1:pos:R:3 pbc="T T T"
Dy 0.0000 0.0000 0.0000
Dy 0.0000 0.0000 5.5078
In 2.0281 3.8493 8.2618
In 2.0281 -3.8493 2.7539
Ni 2.0281 0.3712 2.7539
Ni 2.0281 -0.3712 8.2618
Te 2.0281 6.3870 2.7539
Te 2.0281 2.1200 0.8494
Te 2.0281 2.1200 4.6585
Te 2.0281 -2.1200 6.3572
Te 2.0281 -2.1200 10.1663
Te 2.0281 -6.3870 8.2618
```

crystal system: orthorhombic
DFT total energy: -4.356 eV/atom

=====

Entry from the Open Quantum Materials Database: a geometry-optimized DyTm2Al7Cu2 structure (PBE).

The structure in extended XYZ format:
```
12
Lattice="2.7284 1.5752 8.4354 -2.7284 1.5752 8.4354 0.0000 -3.1505 8.4354" Properties=species:S:1:pos:R:3 pbc="T T T"
Dy 0.0000 0.0000 0.0000
Tm 0.0000 0.0000 3.6017
Tm 0.0000 0.0000 21.7046
Al -1.3901 -0.8025 10.4383
Al 0.0000 -1.6051 14.8679
Al -1.3900 0.8025 14.8679
Al 0.0000 0.0000 12.6531
Al 1.3901 -0.8025 10.4383
Al 0.0000 1.6051 10.4383
Al 1.3900 0.8025 14.8679
Cu 0.0000 0.0000 8.4833
Cu 0.0000 0.0000 16.8229
```

crystal system: trigonal
DFT total energy: -4.413 eV/atom

=====

Entry from the Open Quantum Materials Database: a geometry-optimized CdH2 structure (PBE).

The structure in extended XYZ format:
```
6
Lattice="3.1365 0.0000 0.0000 -1.5683 2.7163 0.0000 0.0000 0.0000 8.5978" Properties=species:S:1:pos:R:3 pbc="T T T"
Cd 0.0000 1.8109 0.0000
Cd 1.5683 0.9054 4.2989
H 0.0000 0.0000 3.2840
H 0.0000 0.0000 7.5829
H 0.0000 1.8109 5.3340
H 1.5683 0.9054 1.0351
```

crystal system: hexagonal
DFT total energy: -2.144 eV/atom

=====

Which formula does entry 6 have?
DyInNiTe3

=====

Number 3 is which compound?
K5P3Pt3